Material: Be2ReP
Method: DFT, PBE
State: relaxed

DFT formation energy   0.0081 eV/atom
Total magnetization   0.00 μB/cell
ΔE to the lowest computed polymorph   158.9 meV per atom
Fermi-level density of states   1.48 states/eV/cell

Lattice parameters (Å, degrees): 4.5049 4.5049 4.5049 139.18 131.63 65.10
Closest atoms and distances in Å follow each position.
Fractional coordinates of all 4 atoms:
Be 0.9934 0.9934 0.0000  4 Be 2.43, 4 P 2.43-2.68, 4 Re 2.50-2.61
Be 0.5065 0.5065 0.0000  4 Be 2.43, 4 P 2.43-2.68, 4 Re 2.50-2.61
P 0.7500 0.2500 0.5000  4 Re 2.42, 8 Be 2.43-2.68
Re 0.2500 0.7500 0.5000  4 P 2.42, 8 Be 2.50-2.61